Below is a relaxed Tb2Si4CN6 crystal, with properties calculated at the PBEsol level.

- Energy: -8.57 eV per atom
- Formation energy (no corrections): -1.351 eV per atom
- Crystal system: monoclinic
- DOS at the Fermi energy: 0.0 states/eV/cell
- Density: 5.763 g cm⁻³

a = 5.9198 Å, b = 9.9133 Å, c = 11.8821 Å
α = 90.00°, β = 119.56°, γ = 90.00°
Closest atoms and distances in Å follow each position.
Fractional positions:
1 Tb 0.1571 0.0880 0.4193  5 N 2.32-2.48
2 Tb 0.1571 0.4120 0.9193  5 N 2.32-2.48
3 Tb 0.1680 0.0636 0.9042  5 N 2.33-2.55
4 Tb 0.1680 0.4364 0.4042  5 N 2.33-2.55
5 Tb 0.8320 0.5636 0.5958  5 N 2.33-2.55
6 Tb 0.8320 0.9364 0.0958  5 N 2.33-2.55
7 Tb 0.8429 0.5880 0.0807  5 N 2.32-2.48
8 Tb 0.8429 0.9120 0.5807  5 N 2.32-2.48
9 Si 0.1785 0.2285 0.6599  3 N 1.74-1.76, 1 C 1.90
10 Si 0.1785 0.2715 0.1599  3 N 1.74-1.76, 1 C 1.90
11 Si 0.2991 0.7060 0.8233  3 N 1.72-1.75, 1 C 1.89
12 Si 0.2991 0.7940 0.3233  3 N 1.72-1.75, 1 C 1.89
13 Si 0.3358 0.7108 0.5790  3 N 1.73-1.76, 1 C 1.90
14 Si 0.3358 0.7892 0.0790  3 N 1.73-1.76, 1 C 1.90
15 Si 0.4935 0.5207 0.2488  3 N 1.74-1.75, 1 C 1.87
16 Si 0.4935 0.9793 0.7488  3 N 1.74-1.75, 1 C 1.87
17 Si 0.5065 0.0207 0.2512  3 N 1.74-1.75, 1 C 1.87
18 Si 0.5065 0.4793 0.7512  3 N 1.74-1.75, 1 C 1.87
19 Si 0.6642 0.2108 0.9210  3 N 1.73-1.76, 1 C 1.90
20 Si 0.6642 0.2892 0.4210  3 N 1.73-1.76, 1 C 1.90
21 Si 0.7009 0.2060 0.6767  3 N 1.72-1.75, 1 C 1.89
22 Si 0.7009 0.2940 0.1767  3 N 1.72-1.75, 1 C 1.89
23 Si 0.8215 0.7285 0.8401  3 N 1.74-1.76, 1 C 1.90
24 Si 0.8215 0.7715 0.3401  3 N 1.74-1.76, 1 C 1.90
25 C 0.4741 0.7086 0.2455  4 Si 1.87-1.90
26 C 0.4741 0.7914 0.7455  4 Si 1.87-1.90
27 C 0.5259 0.2086 0.2545  4 Si 1.87-1.90
28 C 0.5259 0.2914 0.7545  4 Si 1.87-1.90
29 N 0.0056 0.2069 0.0027  2 Si 1.75-1.76
30 N 0.0056 0.2931 0.5027  2 Si 1.75-1.76
31 N 0.0200 0.2375 0.2473  2 Si 1.74
32 N 0.0200 0.2625 0.7473  2 Si 1.74
33 N 0.2000 0.0547 0.6361  2 Si 1.75-1.76
34 N 0.2000 0.4453 0.1361  2 Si 1.75-1.76
35 N 0.2601 0.5351 0.7795  2 Si 1.74-1.75
36 N 0.2601 0.9649 0.2795  2 Si 1.74-1.75
37 N 0.4423 0.5430 0.6018  2 Si 1.74-1.75
38 N 0.4423 0.9570 0.1018  2 Si 1.74-1.75
39 N 0.4617 0.7163 0.9898  2 Si 1.72-1.73
40 N 0.4617 0.7837 0.4898  2 Si 1.72-1.73
41 N 0.5383 0.2163 0.5102  2 Si 1.72-1.73
42 N 0.5383 0.2837 0.0102  2 Si 1.72-1.73
43 N 0.5577 0.0430 0.8982  2 Si 1.74-1.75
44 N 0.5577 0.4570 0.3982  2 Si 1.74-1.75
45 N 0.7399 0.0351 0.7205  2 Si 1.74-1.75
46 N 0.7399 0.4649 0.2205  2 Si 1.74-1.75
47 N 0.8000 0.5547 0.8639  2 Si 1.75-1.76
48 N 0.8000 0.9453 0.3639  2 Si 1.75-1.76
49 N 0.9800 0.7375 0.2527  2 Si 1.74
50 N 0.9800 0.7625 0.7527  2 Si 1.74
51 N 0.9944 0.7069 0.4973  2 Si 1.75-1.76
52 N 0.9944 0.7931 0.9973  2 Si 1.75-1.76

***

Below is a relaxed Y2Si4CN6 crystal, with properties calculated at the PBEsol level.

- Energy: -8.86 eV per atom
- Formation energy (no corrections): -1.362 eV per atom
- Crystal system: monoclinic
- DOS at the Fermi energy: 0.0 states/eV/cell
- Density: 4.249 g cm⁻³

a = 5.9104 Å, b = 9.9071 Å, c = 11.8609 Å
α = 90.00°, β = 119.62°, γ = 90.00°
Closest atoms and distances in Å follow each position.
Fractional positions:
1 Y 0.1553 0.0875 0.4183  6 N 2.32-2.58
2 Y 0.1553 0.4125 0.9183  6 N 2.32-2.58
3 Y 0.1705 0.0663 0.9053  5 N 2.31-2.54
4 Y 0.1705 0.4337 0.4053  5 N 2.31-2.54
5 Y 0.8295 0.5663 0.5947  5 N 2.31-2.54
6 Y 0.8295 0.9337 0.0947  5 N 2.31-2.54
7 Y 0.8447 0.5875 0.0817  6 N 2.32-2.58
8 Y 0.8447 0.9125 0.5817  6 N 2.32-2.58
9 Si 0.1786 0.2275 0.6592  3 N 1.74-1.76, 1 C 1.89
10 Si 0.1786 0.2725 0.1592  3 N 1.74-1.76, 1 C 1.89
11 Si 0.2982 0.7051 0.8233  3 N 1.73-1.75, 1 C 1.89
12 Si 0.2982 0.7949 0.3233  3 N 1.73-1.75, 1 C 1.89
13 Si 0.3359 0.7120 0.5794  3 N 1.73-1.76, 1 C 1.90
14 Si 0.3359 0.7880 0.0794  3 N 1.73-1.76, 1 C 1.90
15 Si 0.4957 0.5211 0.2498  3 N 1.74-1.75, 1 C 1.86
16 Si 0.4957 0.9789 0.7498  3 N 1.74-1.75, 1 C 1.86
17 Si 0.5043 0.0211 0.2502  3 N 1.74-1.75, 1 C 1.86
18 Si 0.5043 0.4789 0.7502  3 N 1.74-1.75, 1 C 1.86
19 Si 0.6641 0.2120 0.9206  3 N 1.73-1.76, 1 C 1.90
20 Si 0.6641 0.2880 0.4206  3 N 1.73-1.76, 1 C 1.90
21 Si 0.7018 0.2051 0.6767  3 N 1.73-1.75, 1 C 1.89
22 Si 0.7018 0.2949 0.1767  3 N 1.73-1.75, 1 C 1.89
23 Si 0.8214 0.7275 0.8408  3 N 1.74-1.76, 1 C 1.89
24 Si 0.8214 0.7725 0.3408  3 N 1.74-1.76, 1 C 1.89
25 C 0.4749 0.7089 0.2466  4 Si 1.86-1.90
26 C 0.4749 0.7911 0.7466  4 Si 1.86-1.90
27 C 0.5251 0.2089 0.2534  4 Si 1.86-1.90
28 C 0.5251 0.2911 0.7534  4 Si 1.86-1.90
29 N 0.0056 0.2092 0.0013  2 Si 1.75-1.76
30 N 0.0056 0.2908 0.5013  2 Si 1.75-1.76
31 N 0.0210 0.2379 0.2470  2 Si 1.74
32 N 0.0210 0.2621 0.7470  2 Si 1.74
33 N 0.2015 0.0534 0.6356  2 Si 1.75-1.76
34 N 0.2015 0.4466 0.1356  2 Si 1.75-1.76
35 N 0.2554 0.5347 0.7770  2 Si 1.74-1.75
36 N 0.2554 0.9653 0.2770  2 Si 1.74-1.75
37 N 0.4416 0.5437 0.6008  2 Si 1.74-1.75
38 N 0.4416 0.9563 0.1008  2 Si 1.74-1.75
39 N 0.4619 0.7132 0.9905  2 Si 1.73
40 N 0.4619 0.7868 0.4905  2 Si 1.73
41 N 0.5381 0.2132 0.5095  2 Si 1.73
42 N 0.5381 0.2868 0.0095  2 Si 1.73
43 N 0.5584 0.0437 0.8992  2 Si 1.74-1.75
44 N 0.5584 0.4563 0.3992  2 Si 1.74-1.75
45 N 0.7446 0.0347 0.7230  2 Si 1.74-1.75
46 N 0.7446 0.4653 0.2230  2 Si 1.74-1.75
47 N 0.7985 0.5534 0.8644  2 Si 1.75-1.76
48 N 0.7985 0.9466 0.3644  2 Si 1.75-1.76
49 N 0.9790 0.7379 0.2530  2 Si 1.74
50 N 0.9790 0.7621 0.7530  2 Si 1.74
51 N 0.9944 0.7092 0.4987  2 Si 1.75-1.76
52 N 0.9944 0.7908 0.9987  2 Si 1.75-1.76

***

Below is a relaxed Sm2C3N6 crystal, with properties calculated at the PBEsol level.

- Energy: -9.04 eV per atom
- Formation energy (no corrections): -0.835 eV per atom
- Crystal system: monoclinic
- DOS at the Fermi energy: 0.0 states/eV/cell
- Density: 4.782 g cm⁻³

a = 7.4761 Å, b = 7.4761 Å, c = 5.2758 Å
α = 95.49°, β = 95.49°, γ = 29.87°
Closest atoms and distances in Å follow each position.
Fractional positions:
1 Sm 0.1346 0.1346 0.0722  7 N 2.38-2.53
2 Sm 0.8654 0.8654 0.9278  7 N 2.38-2.53
3 C 0.0000 0.0000 0.5000  2 N 1.23
4 C 0.3281 0.3281 0.4041  2 N 1.22-1.25
5 C 0.6719 0.6719 0.5959  2 N 1.22-1.25
6 N 0.0123 0.0123 0.7342  1 C 1.23
7 N 0.3099 0.3099 0.1679  1 C 1.25
8 N 0.3432 0.3432 0.6352  1 C 1.22
9 N 0.6568 0.6568 0.3648  1 C 1.22
10 N 0.6901 0.6901 0.8321  1 C 1.25
11 N 0.9877 0.9877 0.2658  1 C 1.23

***

Below is a relaxed SnCN2 crystal, with properties calculated at the PBEsol level.

- Energy: -7.55 eV per atom
- Formation energy (no corrections): 0.190 eV per atom
- Crystal system: hexagonal
- DOS at the Fermi energy: 0.4 states/eV/cell
- Density: 4.096 g cm⁻³

a = 3.8545 Å, b = 3.8545 Å, c = 10.0035 Å
α = 90.00°, β = 90.00°, γ = 120.00°
Closest atoms and distances in Å follow each position.
Fractional positions:
1 Sn 0.0000 0.0000 0.0000  6 N 2.56
2 Sn 0.0000 0.0000 0.5000  6 N 2.56
3 C 0.3333 0.6667 0.2500  2 N 1.24
4 C 0.6667 0.3333 0.7500  2 N 1.24
5 N 0.3333 0.6667 0.1262  1 C 1.24
6 N 0.3333 0.6667 0.3738  1 C 1.24
7 N 0.6667 0.3333 0.6262  1 C 1.24
8 N 0.6667 0.3333 0.8738  1 C 1.24

***

Below is a relaxed SnCN2 crystal, with properties calculated at the PBEsol level.

- Energy: -7.57 eV per atom
- Formation energy (no corrections): 0.169 eV per atom
- Crystal system: trigonal
- Density: 4.153 g cm⁻³

a = 3.8129 Å, b = 3.8129 Å, c = 15.1221 Å
α = 90.00°, β = 90.00°, γ = 120.00°
Closest atoms and distances in Å follow each position.
Fractional positions:
1 Sn 0.0000 0.0000 0.0000  6 N 2.55
2 Sn 0.3333 0.6667 0.6667  6 N 2.55
3 Sn 0.6667 0.3333 0.3333  6 N 2.55
4 C 0.0000 0.0000 0.5000  2 N 1.24
5 C 0.3333 0.6667 0.1667  2 N 1.24
6 C 0.6667 0.3333 0.8333  2 N 1.24
7 N 0.0000 0.0000 0.4181  1 C 1.24
8 N 0.0000 0.0000 0.5819  1 C 1.24
9 N 0.3333 0.6667 0.0847  1 C 1.24
10 N 0.3333 0.6667 0.2486  1 C 1.24
11 N 0.6667 0.3333 0.7514  1 C 1.24
12 N 0.6667 0.3333 0.9153  1 C 1.24

***

Below is a relaxed SrCN2 crystal, with properties calculated at the PBEsol level.

- Energy: -8.04 eV per atom
- Formation energy (no corrections): -0.905 eV per atom
- Crystal system: orthorhombic
- DOS at the Fermi energy: 0.0 states/eV/cell
- Density: 3.234 g cm⁻³

a = 12.3499 Å, b = 3.9317 Å, c = 5.3990 Å
α = 90.00°, β = 90.00°, γ = 90.00°
Closest atoms and distances in Å follow each position.
Fractional positions:
1 Sr 0.1310 0.2500 0.1133  6 N 2.59-2.65
2 Sr 0.3690 0.7500 0.6133  6 N 2.59-2.65
3 Sr 0.6310 0.2500 0.3867  6 N 2.59-2.65
4 Sr 0.8690 0.7500 0.8867  6 N 2.59-2.65
5 C 0.1230 0.7500 0.6155  2 N 1.24
6 C 0.3770 0.2500 0.1155  2 N 1.24
7 C 0.6230 0.7500 0.8845  2 N 1.24
8 C 0.8770 0.2500 0.3845  2 N 1.24
9 N 0.0766 0.7500 0.8185  1 C 1.24
10 N 0.1725 0.7500 0.4158  1 C 1.24
11 N 0.3275 0.2500 0.9158  1 C 1.24
12 N 0.4234 0.2500 0.3185  1 C 1.24
13 N 0.5766 0.7500 0.6815  1 C 1.24
14 N 0.6725 0.7500 0.0842  1 C 1.24
15 N 0.8275 0.2500 0.5842  1 C 1.24
16 N 0.9234 0.2500 0.1815  1 C 1.24

***

Below is a relaxed Sr4CN4 crystal, with properties calculated at the PBEsol level.

- Energy: -6.46 eV per atom
- Formation energy (no corrections): -0.783 eV per atom
- Crystal system: orthorhombic
- Density: 4.212 g cm⁻³

a = 12.1615 Å, b = 3.7835 Å, c = 14.3448 Å
α = 90.00°, β = 90.00°, γ = 90.00°
Closest atoms and distances in Å follow each position.
Fractional positions:
1 Sr 0.0957 0.2500 0.1849  4 N 2.48-2.68
2 Sr 0.1135 0.7500 0.4025  5 N 2.53-2.82, 1 C 2.82
3 Sr 0.1249 0.7500 0.9677  6 N 2.65-2.84
4 Sr 0.1576 0.2500 0.7605  3 N 2.46-2.59
5 Sr 0.3424 0.7500 0.2605  3 N 2.46-2.59
6 Sr 0.3751 0.2500 0.4677  6 N 2.65-2.84
7 Sr 0.3865 0.2500 0.9025  5 N 2.53-2.82, 1 C 2.82
8 Sr 0.4043 0.7500 0.6849  4 N 2.48-2.68
9 Sr 0.5957 0.2500 0.3151  4 N 2.48-2.68
10 Sr 0.6135 0.7500 0.0975  5 N 2.53-2.82, 1 C 2.82
11 Sr 0.6249 0.7500 0.5323  6 N 2.65-2.84
12 Sr 0.6576 0.2500 0.7395  3 N 2.46-2.59
13 Sr 0.8424 0.7500 0.2395  3 N 2.46-2.59
14 Sr 0.8751 0.2500 0.0323  6 N 2.65-2.84
15 Sr 0.8865 0.2500 0.5975  5 N 2.53-2.82, 1 C 2.82
16 Sr 0.9043 0.7500 0.8151  4 N 2.48-2.68
17 C 0.1476 0.7500 0.5972  2 N 1.24-1.25
18 C 0.3524 0.2500 0.0972  2 N 1.24-1.25
19 C 0.6476 0.7500 0.9028  2 N 1.24-1.25
20 C 0.8524 0.2500 0.4028  2 N 1.24-1.25
21 N 0.0125 0.2500 0.8799  6 Sr 2.46-2.75
22 N 0.0535 0.7500 0.6316  1 C 1.25
23 N 0.2214 0.2500 0.3297  6 Sr 2.53-2.72
24 N 0.2401 0.7500 0.5607  1 C 1.24
25 N 0.2599 0.2500 0.0607  1 C 1.24
26 N 0.2786 0.7500 0.8297  6 Sr 2.53-2.72
27 N 0.4465 0.2500 0.1316  1 C 1.25
28 N 0.4875 0.7500 0.3799  6 Sr 2.46-2.75
29 N 0.5125 0.2500 0.6201  6 Sr 2.46-2.75
30 N 0.5535 0.7500 0.8684  1 C 1.25
31 N 0.7214 0.2500 0.1703  6 Sr 2.53-2.72
32 N 0.7401 0.7500 0.9393  1 C 1.24
33 N 0.7599 0.2500 0.4393  1 C 1.24
34 N 0.7786 0.7500 0.6703  6 Sr 2.53-2.72
35 N 0.9465 0.2500 0.3684  1 C 1.25
36 N 0.9875 0.7500 0.1201  6 Sr 2.46-2.75

***

Below is a relaxed SrTeCN2 crystal, with properties calculated at the PBEsol level.

- Energy: -3.64 eV per atom
- Formation energy (no corrections): 2.773 eV per atom
- Crystal system: tetragonal
- DOS at the Fermi energy: 4.1 states/eV/cell
- Density: 2.990 g cm⁻³

a = 4.6184 Å, b = 4.6184 Å, c = 6.6448 Å
α = 90.00°, β = 90.00°, γ = 90.00°
Closest atoms and distances in Å follow each position.
Fractional positions:
1 Sr 0.0000 0.0000 0.0000  4 N 2.31
2 Te 0.0000 0.0000 0.5000  4 C 3.27, 2 Sr 3.32
3 C 0.5000 0.5000 0.5000  4 Te 3.27
4 N 0.0000 0.5000 0.0000  2 Sr 2.31
5 N 0.5000 0.0000 0.0000  2 Sr 2.31

***

Q: Among the records above, which one has the highest formation energy (no corrections)?
A: SrTeCN2

***

Q: Which of these has the highest energy?
A: SrTeCN2

***

Q: Which of these has the lowest energy?
A: Sm2C3N6